No. 1
DFT (GGA-PBE) results for a relaxed BaCu2P crystal. Values from VASP.

Geometry as Quantum ESPRESSO input:
```
&SYSTEM
  ibrav = 0, nat = 4, ntyp = 3
/
ATOMIC_SPECIES
Ba 137.33 Ba.upf
Cu 63.55 Cu.upf
P 30.97 P.upf
CELL_PARAMETERS angstrom
4.678 0.000 0.000
-1.983 4.780 -0.001
0.712 2.238 4.047
ATOMIC_POSITIONS crystal
Ba 0.500 0.500 0.000
Cu 0.000 0.000 0.000
Cu 0.500 0.000 0.500
P 0.000 0.500 0.500
```

Properties
* energy relative to the elements: 0.3427 eV/atom
* size of the total moment: 0.00 μB per formula unit
* D(E_F): 0.3654 states/eV per atom
* volume: 22.6 A^3/atom

=====

No. 2
DFT (GGA-PBE) results for a relaxed BaCu5P3 crystal. Values from VASP.

Geometry as Quantum ESPRESSO input:
```
&SYSTEM
  ibrav = 0, nat = 18, ntyp = 3
/
ATOMIC_SPECIES
Ba 137.33 Ba.upf
Cu 63.55 Cu.upf
P 30.97 P.upf
CELL_PARAMETERS angstrom
3.887 0.000 0.000
-1.944 6.142 0.000
0.000 0.000 12.063
ATOMIC_POSITIONS crystal
Ba 0.834 0.668 0.750
Ba 0.166 0.332 0.250
Cu 0.809 0.618 0.435
Cu 0.191 0.382 0.935
Cu 0.000 0.000 0.500
Cu 0.000 0.000 0.000
Cu 0.447 0.893 0.146
Cu 0.553 0.107 0.854
Cu 0.553 0.107 0.646
Cu 0.809 0.618 0.065
Cu 0.191 0.382 0.565
Cu 0.447 0.893 0.354
P 0.379 0.759 0.960
P 0.886 0.773 0.250
P 0.379 0.759 0.540
P 0.621 0.241 0.460
P 0.114 0.227 0.750
P 0.621 0.241 0.040
```

Properties
* energy relative to the elements: -0.3483 eV/atom
* size of the total moment: 0.00 μB per formula unit
* D(E_F): 0.3523 states/eV per atom
* volume: 16.0 A^3/atom

=====

No. 3
DFT (GGA-PBE) results for a relaxed Ba2CuP3 crystal. Values from VASP.

Geometry as Quantum ESPRESSO input:
```
&SYSTEM
  ibrav = 0, nat = 12, ntyp = 3
/
ATOMIC_SPECIES
Ba 137.33 Ba.upf
Cu 63.55 Cu.upf
P 30.97 P.upf
CELL_PARAMETERS angstrom
6.215 0.872 -1.703
-1.640 6.057 -1.703
-0.751 -1.138 8.500
ATOMIC_POSITIONS crystal
Ba 0.250 0.750 0.500
Ba 0.789 0.789 0.000
Ba 0.750 0.250 0.500
Ba 0.211 0.211 0.000
Cu 0.339 0.339 0.678
Cu 0.661 0.661 0.322
P 0.625 0.229 0.853
P 0.771 0.375 0.147
P 0.375 0.771 0.147
P 0.229 0.625 0.853
P 0.813 0.813 0.625
P 0.187 0.187 0.375
```

Properties
* energy relative to the elements: -0.7057 eV/atom
* size of the total moment: 0.00 μB per formula unit
* D(E_F): 0.5244 states/eV per atom
* volume: 25.9 A^3/atom

=====

No. 4
DFT (GGA-PBE) results for a relaxed Ba2Cu2P crystal. Values from VASP.

Geometry as Quantum ESPRESSO input:
```
&SYSTEM
  ibrav = 0, nat = 10, ntyp = 3
/
ATOMIC_SPECIES
P 30.97 P.upf
Ba 137.33 Ba.upf
Cu 63.55 Cu.upf
CELL_PARAMETERS angstrom
7.553 0.000 0.000
0.000 7.553 0.000
0.000 0.000 4.561
ATOMIC_POSITIONS crystal
P 0.000 0.000 0.000
P 0.500 0.500 0.000
Ba 0.194 0.694 0.500
Ba 0.694 0.806 0.500
Ba 0.806 0.306 0.500
Ba 0.306 0.194 0.500
Cu 0.388 0.888 0.000
Cu 0.888 0.612 0.000
Cu 0.612 0.112 0.000
Cu 0.112 0.388 0.000
```

Properties
* energy relative to the elements: -0.1408 eV/atom
* energy relative to the lowest polymorph listed for this composition: 0.30 eV/f.u.
* size of the total moment: 0.00 μB per formula unit
* D(E_F): 0.5814 states/eV per atom
* volume: 26.0 A^3/atom

=====

No. 5
DFT (GGA-PBE) results for a relaxed Ba2CuP crystal. Values from VASP.

Geometry as Quantum ESPRESSO input:
```
&SYSTEM
  ibrav = 0, nat = 8, ntyp = 3
/
ATOMIC_SPECIES
P 30.97 P.upf
Ba 137.33 Ba.upf
Cu 63.55 Cu.upf
CELL_PARAMETERS angstrom
7.156 0.000 0.000
0.000 7.156 0.000
3.578 3.578 7.581
ATOMIC_POSITIONS crystal
P 0.500 0.500 0.000
P 0.250 0.750 0.500
Ba 0.594 0.125 0.250
Ba 0.156 0.625 0.250
Ba 0.375 0.406 0.750
Ba 0.875 0.844 0.750
Cu 0.000 0.000 0.000
Cu 0.750 0.250 0.500
```

Properties
* energy relative to the elements: -0.1732 eV/atom
* size of the total moment: 0.00 μB per formula unit
* D(E_F): 0.0000 states/eV per atom
* volume: 48.5 A^3/atom

=====

No. 6
DFT (GGA-PBE) results for a relaxed Ba2CuP crystal. Values from VASP.

Geometry as Quantum ESPRESSO input:
```
&SYSTEM
  ibrav = 0, nat = 4, ntyp = 3
/
ATOMIC_SPECIES
Ba 137.33 Ba.upf
Cu 63.55 Cu.upf
P 30.97 P.upf
CELL_PARAMETERS angstrom
-3.777 1.727 5.168
-1.372 -2.035 6.160
3.251 2.486 1.547
ATOMIC_POSITIONS crystal
Ba 0.014 0.014 0.125
Ba 0.742 0.742 0.625
Cu 0.425 0.425 0.626
P 0.319 0.319 0.125
```

Properties
* energy relative to the elements: -0.5241 eV/atom
* size of the total moment: 0.00 μB per formula unit
* D(E_F): 0.3082 states/eV per atom
* volume: 31.1 A^3/atom